Here is a geometry-optimized YSb2TeBr structure from Alexandria via LeMat-Bulk. Energies are from GGA-PBEsol.

Unit cell a=5.406 b=5.406 c=5.325 alpha=90.00 beta=90.00 gamma=90.00
Positions (direct):
Y  0.000  0.000  0.000
Sb  0.000  0.500  0.500
Sb  0.500  0.000  0.500
Te  0.500  0.500  0.000
Br  0.500  0.500  0.500

Formation energy without anion corrections, eV per atom: 0.33
DOS at the Fermi energy, states/eV per cell: 4.1
Electronic total energy, Ry per atom: -0.289